Computed, not measured: crystalline KRbCu2Cl6 at its relaxed geometry at the PBE level of DFT.

Output
**Formation energy (no corrections)**: -1.03 eV per atom
**DOS at the Fermi energy**: 8.29 states/eV/cell

Lattice parameters (Å, degrees): 8.845 8.845 9.295 103.48 103.48 101.35
Positions (direct):
Cu: 0.634 0.913 0.313
Cu: 0.913 0.634 0.813
Cu: 0.366 0.087 0.687
Cu: 0.087 0.366 0.187
K: 0.444 0.556 0.750
K: 0.556 0.444 0.250
Cl: 0.820 0.806 0.401
Cl: 0.806 0.820 0.901
Cl: 0.129 0.559 0.870
Cl: 0.559 0.129 0.370
Cl: 0.194 0.180 0.099
Cl: 0.551 0.266 0.885
Cl: 0.441 0.871 0.630
Cl: 0.871 0.441 0.130
Cl: 0.449 0.734 0.115
Cl: 0.734 0.449 0.615
Cl: 0.180 0.194 0.599
Cl: 0.266 0.551 0.385
Rb: 0.142 0.858 0.250
Rb: 0.858 0.142 0.750

***

Computed, not measured: crystalline Ho2ErSe at its relaxed geometry at the PBE level of DFT.

Output
**Formation energy (no corrections)**: -0.52 eV per atom
**DOS at the Fermi energy**: 5.23 states/eV/cell
**Distance to the lowest polymorph of the same formula**: 1.14 eV/f.u.

Lattice parameters (Å, degrees): 3.678 3.678 10.513 79.93 79.93 60.00
Positions (direct):
Ho: 0.892 0.892 0.324
Ho: 0.108 0.108 0.676
Er: 0.000 0.000 0.000
Se: 0.500 0.500 0.500

***

Computed, not measured: crystalline AcTbCeN3 at its relaxed geometry at the PBE level of DFT.

Output
**Formation energy (no corrections)**: -1.32 eV per atom
**DOS at the Fermi energy**: 6.04 states/eV/cell

Lattice parameters (Å, degrees): 3.662 6.240 9.353 102.34 90.00 90.00
Positions (direct):
N: 0.250 0.453 0.845
N: 0.750 0.235 0.513
N: 0.250 0.765 0.487
N: 0.750 0.547 0.155
N: 0.250 0.962 0.851
N: 0.750 0.038 0.149
Ac: 0.750 0.655 0.697
Ac: 0.250 0.345 0.303
Tb: 0.250 0.141 0.641
Tb: 0.750 0.859 0.359
Ce: 0.250 0.765 0.043
Ce: 0.750 0.235 0.957

***

Computed, not measured: crystalline CrB2N at its relaxed geometry at the PBE level of DFT.

Output
**Formation energy (no corrections)**: 1.78 eV per atom
**DOS at the Fermi energy**: 0.65 states/eV/cell
**Distance to the lowest polymorph of the same formula**: 5.64 eV/f.u.

Lattice parameters (Å, degrees): 3.592 3.592 3.592 60.00 60.00 60.00
Positions (direct):
N: 0.000 0.000 0.000
Cr: 0.500 0.500 0.500
B: 0.250 0.250 0.250
B: 0.750 0.750 0.750

***

Computed, not measured: crystalline TaCdC3 at its relaxed geometry at the PBE level of DFT.

Output
**Formation enthalpy at 0 K**: 1.74 eV per atom
**DOS at the Fermi energy**: 3.77 states/eV/cell
**Distance to the lowest polymorph of the same formula**: 0.00 eV/f.u.

Lattice parameters (Å, degrees): 4.233 4.233 4.233 90.00 90.00 90.00
Positions (direct):
C: 0.500 0.000 0.000
C: 0.000 0.000 0.500
C: 0.000 0.500 0.000
Ta: 0.000 0.000 0.000
Cd: 0.500 0.500 0.500

***

Computed, not measured: crystalline K6BrO2 at its relaxed geometry at the PBE level of DFT.

Output
**Formation energy (no corrections)**: -1.01 eV per atom
**DOS at the Fermi energy**: 2.12 states/eV/cell
**Distance to the lowest polymorph of the same formula**: 0.35 eV/f.u.

Lattice parameters (Å, degrees): 5.210 8.211 9.840 102.55 90.00 108.50
Positions (direct):
K: 0.737 0.474 0.091
K: 0.911 0.823 0.789
K: 0.089 0.177 0.211
K: 0.366 0.731 0.359
K: 0.634 0.269 0.641
K: 0.263 0.526 0.909
Br: 0.000 0.000 0.500
O: 0.236 0.472 0.167
O: 0.764 0.528 0.833

***

Question: What is the formula in the third record?
Answer: AcTbCeN3

***

Question: Look up the DOS at the Fermi energy of the fifth one.
Answer: 3.77 states/eV/cell

***

Question: The lowest DOS at the Fermi energy belongs to which entry?
Answer: CrB2N